Ac2Pu2Ni15 | PBE-GGA | optimized geometry

Computed properties:
- Formation energy from the elements: -0.11 eV per atom
- Total DFT energy (no corrections): -125.7 eV/cell
- Space-group type: No. 166
- Volume: 14.4 Å³ per atom

Cell lengths 6.5498, 6.5498, 6.5498 Å; angles 82.51, 82.51, 82.51 degrees
Closest atoms and distances in Å follow each position.
Fractional coordinates of all 19 atoms:
Ac 0.1475 0.1475 0.1475  15 Ni 3.01-3.35, 1 Pu 3.36
Ac 0.8525 0.8525 0.8525  15 Ni 3.01-3.35, 1 Pu 3.36
Pu 0.4114 0.4114 0.4114  1 Pu 2.26
Pu 0.5886 0.5886 0.5886  1 Pu 2.26
Ni 0.0000 0.5000 0.5000  8 Ni 2.48-2.51, 2 Pu 2.68
Ni 0.1610 0.1610 0.6547  8 Ni 2.48-2.62, 1 Pu 2.69
Ni 0.1610 0.6547 0.1610  8 Ni 2.48-2.62, 1 Pu 2.69
Ni 0.1931 0.5000 0.8069  8 Ni 2.51-2.65
Ni 0.1931 0.8069 0.5000  8 Ni 2.51-2.65
Ni 0.3453 0.8390 0.8390  8 Ni 2.48-2.62, 1 Pu 2.69
Ni 0.5000 0.0000 0.5000  8 Ni 2.48-2.51, 2 Pu 2.68
Ni 0.5000 0.1931 0.8069  8 Ni 2.51-2.65
Ni 0.5000 0.5000 0.0000  8 Ni 2.48-2.51, 2 Pu 2.68
Ni 0.5000 0.8069 0.1931  8 Ni 2.51-2.65
Ni 0.6547 0.1610 0.1610  8 Ni 2.48-2.62, 1 Pu 2.69
Ni 0.8069 0.1931 0.5000  8 Ni 2.51-2.65
Ni 0.8069 0.5000 0.1931  8 Ni 2.51-2.65
Ni 0.8390 0.3453 0.8390  8 Ni 2.48-2.62, 1 Pu 2.69
Ni 0.8390 0.8390 0.3453  8 Ni 2.48-2.62, 1 Pu 2.69